Version P
{"formula": "Hf2CrCl", "functional": "PBE", "state": "relaxed", "lattice": [[0.000, 3.298, 3.298], [3.298, 0.000, 3.298], [3.298, 3.298, 0.000]], "species": ["Hf", "Hf", "Cr", "Cl"], "fractional_positions": [[0.250, 0.250, 0.250], [0.750, 0.750, 0.750], [0.000, 0.000, 0.000], [0.500, 0.500, 0.500]], "spacegroup": "Fm-3m, No. 225", "n_ef_per_ev_cell": 5.84, "total_magnetization_mub_per_fu": 0.00}

=====

Version Q
{"formula": "Hf2CrCl", "functional": "PBE", "state": "relaxed", "lattice": [[-2.733, 2.733, 6.394], [2.733, -2.733, 6.394], [2.733, 2.733, -6.394]], "species": ["Hf", "Hf", "Hf", "Hf", "Cr", "Cr", "Cl", "Cl"], "fractional_positions": [[0.071, 0.625, 0.946], [0.375, 0.321, 0.446], [0.679, 0.125, 0.054], [0.875, 0.929, 0.554], [0.000, 0.000, 0.000], [0.750, 0.250, 0.500], [0.250, 0.750, 0.500], [0.500, 0.500, 0.000]], "spacegroup": "I-42d, No. 122", "n_ef_per_ev_cell": 9.73, "total_magnetization_mub_per_fu": 0.00}

=====

The structure with the least stability is version Q.

=====

Version P
{"formula": "HfCrSCl2", "functional": "PBE", "state": "relaxed", "lattice": [[4.601, 0.000, 0.000], [0.000, 4.601, 0.000], [0.000, 0.000, 4.896]], "species": ["Hf", "Cr", "S", "Cl", "Cl"], "fractional_positions": [[0.000, 0.000, 0.000], [0.500, 0.500, 0.500], [0.500, 0.500, 0.000], [0.000, 0.500, 0.500], [0.500, 0.000, 0.500]], "spacegroup": "P4/mmm, No. 123", "n_ef_per_ev_cell": 4.67, "total_magnetization_mub_per_fu": 2.00}

=====

Version Q
{"formula": "HfCrSCl2", "functional": "PBE", "state": "relaxed", "lattice": [[4.962, 0.000, 0.000], [0.000, 4.962, 0.000], [0.000, 0.000, 4.949]], "species": ["Hf", "Cr", "S", "Cl", "Cl"], "fractional_positions": [[0.000, 0.000, 0.000], [0.500, 0.500, 0.500], [0.000, 0.000, 0.500], [0.000, 0.500, 0.000], [0.500, 0.000, 0.000]], "spacegroup": "P4/mmm, No. 123", "n_ef_per_ev_cell": 2.17, "total_magnetization_mub_per_fu": 5.18}

=====

The structure with the least stability is version P.

=====

Version P
{"formula": "CrHgCl2", "functional": "PBE", "state": "relaxed", "lattice": [[1.855, 1.071, 8.180], [-1.855, 1.071, 8.180], [0.000, -2.142, 8.180]], "species": ["Cr", "Hg", "Cl", "Cl"], "fractional_positions": [[0.000, 0.000, 0.000], [0.745, 0.745, 0.745], [0.282, 0.282, 0.282], [0.481, 0.481, 0.481]], "spacegroup": "R3m, No. 160", "n_ef_per_ev_cell": 3.21, "total_magnetization_mub_per_fu": 4.00}

=====

Version Q
{"formula": "CrHgCl2", "functional": "PBE", "state": "relaxed", "lattice": [[-1.721, 3.448, 4.543], [1.721, -3.448, 4.543], [1.721, 3.448, -4.543]], "species": ["Cr", "Hg", "Cl", "Cl"], "fractional_positions": [[0.000, 0.000, 0.000], [0.763, 0.263, 0.500], [0.172, 0.672, 0.500], [0.535, 0.535, 0.000]], "spacegroup": "Imm2, No. 44", "total_magnetization_mub_per_fu": 4.00}

=====

Version R
{"formula": "CrHgCl2", "functional": "PBE", "state": "relaxed", "lattice": [[0.000, 3.526, 3.526], [3.526, 0.000, 3.526], [3.526, 3.526, 0.000]], "species": ["Cr", "Hg", "Cl", "Cl"], "fractional_positions": [[0.000, 0.000, 0.000], [0.500, 0.500, 0.500], [0.250, 0.250, 0.250], [0.750, 0.750, 0.750]], "spacegroup": "Fm-3m, No. 225", "n_ef_per_ev_cell": 2.10, "total_magnetization_mub_per_fu": 4.01}

=====

Version S
{"formula": "CrHgCl2", "functional": "PBE", "state": "relaxed", "lattice": [[3.333, 0.000, 0.000], [0.000, 3.333, 0.000], [0.000, 0.000, 8.137]], "species": ["Cr", "Hg", "Cl", "Cl"], "fractional_positions": [[0.000, 0.000, 0.000], [0.500, 0.500, 0.241], [0.000, 0.000, 0.445], [0.500, 0.500, 0.839]], "spacegroup": "P4mm, No. 99", "n_ef_per_ev_cell": 3.97, "total_magnetization_mub_per_fu": 4.00}

=====

The structure with the least stability is version R.